# 1
TbSmDy6Ho2: optimized geometry, PBE.

Properties
Energy of formation from the pure elements: 1.213 eV/f.u.
Magnetization: 0.000 μB per formula unit

Unit cell a=9.0546 b=15.0003 c=9.5370 alpha=90.00 beta=97.41 gamma=90.00
Closest atoms and distances in Å follow each position.
Space group C2/c (No. 15)
Inequivalent atoms, fractional coordinates:
Tb: 0.0000 0.0912 0.2500 [4 per cell]  6 Dy 3.40-3.53, 2 Ho 3.53
Sm: 0.0000 0.4750 0.7500 [4 per cell]  4 Ho 3.38-3.40, 4 Dy 3.56-3.67
Dy: 0.0638 0.3143 0.4436 [8 per cell]  7 Dy 3.38-3.72, 1 Ho 3.48, 1 Sm 3.67
Dy: 0.1003 0.1078 0.6195 [8 per cell]  4 Dy 3.20-3.52, 3 Ho 3.26-3.41, 2 Tb 3.40-3.53
Dy: 0.2065 0.2742 0.8169 [8 per cell]  3 Dy 3.20-3.56, 1 Ho 3.39, 1 Tb 3.46, 1 Sm 3.56
Ho: 0.2495 0.4478 0.0453 [8 per cell]  6 Dy 3.26-3.58, 2 Sm 3.38-3.40, 1 Tb 3.53

***

# 2
Tb6Sm2DyHo: optimized geometry, PBE.

Properties
Energy of formation from the pure elements: 1.170 eV/f.u.
Magnetization: 0.000 μB per formula unit

Unit cell a=9.0381 b=15.0840 c=9.6609 alpha=90.00 beta=98.51 gamma=90.00
Closest atoms and distances in Å follow each position.
Space group C2/c (No. 15)
Inequivalent atoms, fractional coordinates:
Tb: 0.0635 0.1879 0.4436 [8 per cell]  7 Tb 3.40-3.75, 1 Sm 3.50, 1 Dy 3.66
Tb: 0.1030 0.3944 0.6202 [8 per cell]  4 Tb 3.24-3.54, 3 Sm 3.25-3.44, 2 Ho 3.42-3.57
Tb: 0.2033 0.2233 0.8135 [8 per cell]  2 Tb 3.24-3.57, 1 Sm 3.39, 1 Ho 3.46, 1 Dy 3.58
Sm: 0.2470 0.0518 0.0426 [8 per cell]  5 Tb 3.25-3.50, 2 Dy 3.37-3.39, 1 Ho 3.55
Dy: 0.0000 0.0204 0.7500 [4 per cell]  4 Sm 3.37-3.39, 4 Tb 3.58-3.66
Ho: 0.0000 0.4077 0.2500 [4 per cell]  8 Tb 3.42-3.81, 2 Sm 3.55

***

# 3
TbSm2Dy5Ho: optimized geometry, PBE.

Properties
Energy of formation from the pure elements: 2.536 eV/f.u.
Magnetization: 0.000 μB per formula unit

Unit cell a=8.6194 b=8.6194 c=15.6146 alpha=90.00 beta=90.00 gamma=90.00
Closest atoms and distances in Å follow each position.
Space group I4/mcm (No. 140)
Inequivalent atoms, fractional coordinates:
Tb: 0.0000 0.0000 0.2500 [4 per cell]  10 Dy 3.54-3.90
Sm: 0.1175 0.3825 0.0000 [8 per cell]  1 Sm 2.86, 2 Dy 3.02
Dy: 0.0000 0.0000 0.0000 [4 per cell]  4 Sm 3.45, 8 Dy 3.77
Dy: 0.2108 0.2892 0.3608 [16 per cell]  1 Sm 3.02, 1 Ho 3.10
Ho: 0.0000 0.5000 0.2500 [4 per cell]  4 Dy 3.10

***

# 4
TbSm2DyHo5: optimized geometry, PBE.

Properties
Energy of formation from the pure elements: 2.513 eV/f.u.
Magnetization: 0.000 μB per formula unit

Unit cell a=8.6195 b=8.6195 c=15.5012 alpha=90.00 beta=90.00 gamma=90.00
Closest atoms and distances in Å follow each position.
Space group I4/mcm (No. 140)
Inequivalent atoms, fractional coordinates:
Tb: 0.0000 0.0000 0.2500 [4 per cell]  10 Ho 3.54-3.88
Sm: 0.1172 0.3828 0.0000 [8 per cell]  1 Sm 2.86, 2 Ho 3.01
Dy: 0.0000 0.5000 0.2500 [4 per cell]  4 Ho 3.09
Ho: 0.0000 0.0000 0.0000 [4 per cell]  4 Sm 3.45, 8 Ho 3.76
Ho: 0.2103 0.2897 0.3613 [16 per cell]  1 Sm 3.01, 1 Dy 3.09

***

# 5
Sm3Dy2HoTe6: optimized geometry, PBE.

Properties
Formation energy from raw total energies: -1.328 eV per atom
Magnetization: 0.000 μB per formula unit

Unit cell a=19.2134 b=4.3640 c=8.8599 alpha=90.00 beta=104.06 gamma=90.00
Closest atoms and distances in Å follow each position.
Space group C2/m (No. 12)
Inequivalent atoms, fractional coordinates:
Sm: 0.0000 0.0000 0.0000 [2 per cell]  6 Te 3.14-3.15
Sm: 0.1672 0.5000 0.3330 [4 per cell]  6 Te 3.14-3.15
Dy: 0.1671 0.5000 0.8338 [4 per cell]  6 Te 3.07-3.08
Ho: 0.0000 0.0000 0.5000 [2 per cell]  6 Te 3.06-3.07
Te: 0.0017 0.5000 0.7445 [4 per cell]  2 Ho 3.07, 1 Dy 3.08, 3 Sm 3.15
Te: 0.1643 0.0000 0.5871 [4 per cell]  1 Ho 3.06, 2 Dy 3.08, 3 Sm 3.14-3.15
Te: 0.1682 0.0000 0.0787 [4 per cell]  3 Dy 3.07, 3 Sm 3.14

***

# 6
SmDyHo2Te6: optimized geometry, PBE.

Properties
Formation energy from raw total energies: -1.360 eV per atom
Magnetization: 0.000 μB per formula unit

Unit cell a=7.7193 b=7.7193 c=21.1084 alpha=90.00 beta=90.00 gamma=120.00
Closest atoms and distances in Å follow each position.
Space group R3 (No. 146, hexagonal axes)
Inequivalent atoms, fractional coordinates:
Sm: 0.0000 0.0000 0.0000 [3 per cell]  6 Te 3.11-3.17
Dy: 0.0000 0.0000 0.5014 [3 per cell]  6 Te 3.07-3.11
Ho: 0.0000 0.0000 0.1867 [3 per cell]  6 Te 3.05-3.10
Ho: 0.0000 0.0000 0.6877 [3 per cell]  6 Te 3.06-3.09
Te: 0.0199 0.3489 0.7627 [9 per cell]  2 Ho 3.06-3.10, 1 Dy 3.07, 1 Sm 3.17
Te: 0.0280 0.6771 0.2618 [9 per cell]  2 Ho 3.05-3.09, 1 Dy 3.11, 1 Sm 3.11

***

# 7
SmDy3Ho2Te6: optimized geometry, PBE.

Properties
Formation energy from raw total energies: -1.285 eV per atom
Magnetization: 0.000 μB per formula unit

Unit cell a=19.0084 b=4.3403 c=8.7715 alpha=90.00 beta=103.16 gamma=90.00
Closest atoms and distances in Å follow each position.
Space group C2/m (No. 12)
Inequivalent atoms, fractional coordinates:
Sm: 0.0000 0.0000 0.0000 [2 per cell]  6 Te 3.12-3.15
Dy: 0.0000 0.0000 0.5000 [2 per cell]  6 Te 3.05-3.11
Dy: 0.1626 0.5000 0.8327 [4 per cell]  6 Te 3.03-3.11
Ho: 0.1644 0.5000 0.3295 [4 per cell]  6 Te 3.02-3.10
Te: 0.0013 0.5000 0.2560 [4 per cell]  1 Ho 3.02, 3 Dy 3.03-3.05, 2 Sm 3.12
Te: 0.1681 0.0000 0.5822 [4 per cell]  3 Ho 3.09-3.10, 3 Dy 3.11
Te: 0.1704 0.0000 0.0857 [4 per cell]  2 Ho 3.07, 3 Dy 3.08-3.09, 1 Sm 3.15

***

# 8
Sm3DyHo2Te6: optimized geometry, PBE.

Properties
Formation energy from raw total energies: -1.323 eV per atom
Magnetization: 0.000 μB per formula unit

Unit cell a=19.2106 b=4.3594 c=8.8573 alpha=90.00 beta=104.18 gamma=90.00
Closest atoms and distances in Å follow each position.
Space group C2/m (No. 12)
Inequivalent atoms, fractional coordinates:
Sm: 0.0000 0.0000 0.0000 [2 per cell]  6 Te 3.14-3.15
Sm: 0.1658 0.5000 0.3332 [4 per cell]  6 Te 3.13-3.15
Dy: 0.0000 0.0000 0.5000 [2 per cell]  6 Te 3.07-3.08
Ho: 0.1663 0.5000 0.8329 [4 per cell]  6 Te 3.05-3.07
Te: 0.0024 0.5000 0.7460 [4 per cell]  1 Ho 3.05, 2 Dy 3.07, 3 Sm 3.13-3.14
Te: 0.1654 0.0000 0.5890 [4 per cell]  2 Ho 3.07, 1 Dy 3.08, 3 Sm 3.15
Te: 0.1689 0.0000 0.0782 [4 per cell]  3 Ho 3.07, 3 Sm 3.15

***

# 9
SmDy2HoTe6: optimized geometry, PBE.

Properties
Formation energy from raw total energies: -1.363 eV per atom
Magnetization: 0.000 μB per formula unit

Unit cell a=7.7260 b=7.7260 c=21.1371 alpha=90.00 beta=90.00 gamma=120.00
Closest atoms and distances in Å follow each position.
Space group R3 (No. 146, hexagonal axes)
Inequivalent atoms, fractional coordinates:
Sm: 0.0000 0.0000 0.0000 [3 per cell]  6 Te 3.11-3.17
Dy: 0.0000 0.0000 0.1867 [3 per cell]  6 Te 3.06-3.11
Dy: 0.0000 0.0000 0.6879 [3 per cell]  6 Te 3.07-3.11
Ho: 0.0000 0.0000 0.5015 [3 per cell]  6 Te 3.06-3.10
Te: 0.0178 0.3501 0.7623 [9 per cell]  1 Ho 3.06, 2 Dy 3.07-3.11, 1 Sm 3.17
Te: 0.0273 0.6745 0.2610 [9 per cell]  2 Dy 3.06-3.11, 1 Ho 3.10, 1 Sm 3.11

***

# 10
Sm3DyHo3Te8: optimized geometry, PBE.

Properties
Formation energy from raw total energies: -1.384 eV per atom
Magnetization: 0.000 μB per formula unit

Unit cell a=8.7337 b=8.7337 c=21.4719 alpha=90.00 beta=90.00 gamma=120.00
Closest atoms and distances in Å follow each position.
Space group R-3m (No. 166, hexagonal axes)
Inequivalent atoms, fractional coordinates:
Sm: 0.0000 0.5000 0.0000 [9 per cell]  6 Te 3.13
Dy: 0.0000 0.0000 0.5000 [3 per cell]  6 Te 3.14
Ho: 0.0000 0.5000 0.5000 [9 per cell]  6 Te 3.06
Te: 0.0000 0.0000 0.2471 [6 per cell]  3 Ho 3.06, 3 Sm 3.13
Te: 0.0094 0.5047 0.7506 [18 per cell]  2 Ho 3.06, 2 Sm 3.13, 1 Dy 3.14

***

# 11
Sm2DyHoTe6: optimized geometry, PBE.

Properties
Formation energy from raw total energies: -1.367 eV per atom
Magnetization: 0.000 μB per formula unit

Unit cell a=7.7715 b=7.7715 c=21.1933 alpha=90.00 beta=90.00 gamma=120.00
Closest atoms and distances in Å follow each position.
Space group R3 (No. 146, hexagonal axes)
Inequivalent atoms, fractional coordinates:
Sm: 0.0000 0.0000 0.0000 [3 per cell]  6 Te 3.12-3.17
Sm: 0.0000 0.0000 0.4997 [3 per cell]  6 Te 3.12-3.17
Dy: 0.0000 0.0000 0.1878 [3 per cell]  6 Te 3.07-3.11
Ho: 0.0000 0.0000 0.6875 [3 per cell]  6 Te 3.06-3.09
Te: 0.0274 0.3483 0.7630 [9 per cell]  1 Ho 3.06, 1 Dy 3.11, 2 Sm 3.12-3.17
Te: 0.0277 0.6778 0.2631 [9 per cell]  1 Dy 3.07, 1 Ho 3.09, 2 Sm 3.12-3.17

***

# 12
Sm2Dy3HoTe6: optimized geometry, PBE.

Properties
Formation energy from raw total energies: -1.309 eV per atom
Magnetization: 0.000 μB per formula unit

Unit cell a=19.1026 b=4.3550 c=8.8126 alpha=90.00 beta=103.28 gamma=90.00
Closest atoms and distances in Å follow each position.
Space group C2/m (No. 12)
Inequivalent atoms, fractional coordinates:
Sm: 0.1693 0.0000 0.3371 [4 per cell]  6 Te 3.11-3.19
Dy: 0.0000 0.5000 0.5000 [2 per cell]  6 Te 3.04-3.11
Dy: 0.1707 0.0000 0.8344 [4 per cell]  6 Te 3.06-3.13
Ho: 0.0000 0.5000 0.0000 [2 per cell]  6 Te 3.05-3.09
Te: 0.0024 0.0000 0.7526 [4 per cell]  2 Ho 3.09, 3 Dy 3.11-3.13, 1 Sm 3.19
Te: 0.1643 0.5000 0.0775 [4 per cell]  1 Ho 3.05, 3 Dy 3.07-3.08, 2 Sm 3.14
Te: 0.1636 0.5000 0.5880 [4 per cell]  3 Dy 3.04-3.06, 3 Sm 3.11-3.12

***

# 13
SmDy2Ho3Te6: optimized geometry, PBE.

Properties
Formation energy from raw total energies: -1.280 eV per atom
Magnetization: 0.000 μB per formula unit

Unit cell a=19.0184 b=4.3353 c=8.7692 alpha=90.00 beta=103.50 gamma=90.00
Closest atoms and distances in Å follow each position.
Space group C2/m (No. 12)
Inequivalent atoms, fractional coordinates:
Sm: 0.0000 0.0000 0.0000 [2 per cell]  6 Te 3.12-3.15
Dy: 0.1647 0.5000 0.3297 [4 per cell]  6 Te 3.04-3.11
Ho: 0.0000 0.0000 0.5000 [2 per cell]  6 Te 3.04-3.09
Ho: 0.1634 0.5000 0.8325 [4 per cell]  6 Te 3.03-3.09
Te: 0.0003 0.5000 0.2566 [4 per cell]  3 Ho 3.03-3.04, 1 Dy 3.04, 2 Sm 3.12
Te: 0.1673 0.0000 0.5837 [4 per cell]  3 Ho 3.09, 3 Dy 3.10-3.11
Te: 0.1703 0.0000 0.0833 [4 per cell]  3 Ho 3.07, 2 Dy 3.08, 1 Sm 3.15

***

# 14
SmDyHoTh: optimized geometry, PBE.

Properties
Offset from the most stable computed form: 13.0 kJ/mol of atoms
Energy of formation from the pure elements: 0.582 eV/f.u.
Magnetization: 0.000 μB per formula unit

Unit cell a=8.0329 b=8.0329 c=8.0329 alpha=90.00 beta=90.00 gamma=90.00
Closest atoms and distances in Å follow each position.
Space group F-43m (No. 216)
Inequivalent atoms, fractional coordinates:
Sm: 0.0000 0.0000 0.0000 [4 per cell]  4 Dy 3.48, 4 Ho 3.48
Dy: 0.2500 0.2500 0.7500 [4 per cell]  4 Th 3.48, 4 Sm 3.48
Ho: 0.2500 0.2500 0.2500 [4 per cell]  4 Th 3.48, 4 Sm 3.48
Th: 0.0000 0.0000 0.5000 [4 per cell]  4 Dy 3.48, 4 Ho 3.48

***

# 15
Sm3DyHo6Th2: optimized geometry, PBE.

Properties
Energy of formation from the pure elements: 0.235 eV/f.u.
Magnetization: 0.000 μB per formula unit

Unit cell a=6.1799 b=10.6970 c=11.7465 alpha=90.00 beta=100.12 gamma=90.00
Closest atoms and distances in Å follow each position.
Space group C2/m (No. 12)
Inequivalent atoms, fractional coordinates:
Sm: 0.0000 0.0000 0.0000 [2 per cell]  6 Sm 3.57, 6 Ho 3.57-3.59
Sm: 0.0000 0.3336 0.0000 [4 per cell]  6 Sm 3.56-3.57, 6 Ho 3.57-3.60
Dy: 0.0000 0.5000 0.5000 [2 per cell]  6 Ho 3.53, 6 Th 3.57
Ho: 0.2451 0.0000 0.7464 [4 per cell]  2 Th 3.51, 1 Dy 3.53, 6 Ho 3.55-3.61, 3 Sm 3.57-3.59
Ho: 0.2490 0.1686 0.2540 [8 per cell]  2 Th 3.50-3.51, 1 Dy 3.53, 6 Ho 3.55-3.61, 3 Sm 3.57-3.60
Th: 0.0000 0.1666 0.5000 [4 per cell]  6 Ho 3.50-3.51, 3 Th 3.56-3.57, 3 Dy 3.57

***

# 16
Sm2DyHoTh: optimized geometry, PBE.

Properties
Energy of formation from the pure elements: 1.583 eV/f.u.
Magnetization: 0.000 μB per formula unit

Unit cell a=8.5108 b=6.3696 c=6.3554 alpha=90.00 beta=95.09 gamma=90.00
Closest atoms and distances in Å follow each position.
Space group P2/c (No. 13)
Inequivalent atoms, fractional coordinates:
Sm: 0.1887 0.2029 0.2781 [4 per cell]  1 Th 3.13, 1 Sm 3.20, 1 Dy 3.45, 1 Ho 3.46
Dy: 0.5000 0.5000 0.0000 [2 per cell]  2 Dy 3.18, 2 Th 3.26, 2 Sm 3.45
Ho: 0.0000 0.3162 0.7500 [2 per cell]  8 Sm 3.46-3.67
Th: 0.5000 0.0523 0.7500 [2 per cell]  2 Sm 3.13, 2 Th 3.25, 2 Dy 3.26

***

# 17
SmDy5Ho2Th: optimized geometry, PBE.

Properties
Energy of formation from the pure elements: 1.457 eV/f.u.
Magnetization: 0.000 μB per formula unit

Unit cell a=5.7057 b=21.4522 c=9.7162 alpha=90.00 beta=90.00 gamma=90.00
Closest atoms and distances in Å follow each position.
Space group Cmc2_1 (No. 36)
Inequivalent atoms, fractional coordinates:
Sm: 0.0000 0.1898 0.0000 [4 per cell]  2 Ho 3.25-3.43, 5 Dy 3.43-3.52
Dy: 0.0000 0.0142 0.0005 [4 per cell]  2 Ho 3.34-3.59, 2 Th 3.45, 2 Dy 3.60
Dy: 0.0000 0.2728 0.3037 [4 per cell]  1 Th 3.04, 1 Ho 3.36
Dy: 0.0000 0.3046 0.6960 [4 per cell]  2 Sm 3.43, 4 Dy 3.46-3.77, 3 Ho 3.51-3.78, 1 Th 3.60
Dy: 0.0000 0.3994 0.0229 [4 per cell]  2 Dy 3.27-3.44, 4 Ho 3.36-3.52
Dy: 0.0000 0.4683 0.7225 [4 per cell]  2 Th 3.20-3.37, 3 Dy 3.27-3.52, 2 Ho 3.49
Ho: 0.0000 0.1162 0.3137 [4 per cell]  8 Dy 3.34-3.52, 1 Sm 3.43, 1 Ho 3.71
Ho: 0.0000 0.1282 0.6944 [4 per cell]  1 Sm 3.25, 3 Dy 3.36-3.59, 2 Th 3.58
Th: 0.0000 0.4070 0.4031 [4 per cell]  3 Dy 3.04-3.37

***

# 18
Sm6Dy3Ho2Th: optimized geometry, PBE.

Properties
Energy of formation from the pure elements: 0.346 eV/f.u.
Magnetization: 0.000 μB per formula unit

Unit cell a=6.2150 b=10.7519 c=11.9019 alpha=90.00 beta=100.03 gamma=90.00
Closest atoms and distances in Å follow each position.
Space group C2/m (No. 12)
Inequivalent atoms, fractional coordinates:
Sm: 0.2466 0.0000 0.2510 [4 per cell]  6 Sm 3.55-3.60, 1 Th 3.57, 2 Ho 3.58, 3 Dy 3.59-3.61
Sm: 0.2487 0.1652 0.7493 [8 per cell]  6 Sm 3.55-3.60, 1 Th 3.57, 2 Ho 3.59, 3 Dy 3.59-3.60
Dy: 0.0000 0.1670 0.0000 [4 per cell]  6 Dy 3.58-3.59, 6 Sm 3.59-3.60
Dy: 0.0000 0.5000 0.0000 [2 per cell]  6 Dy 3.58-3.59, 6 Sm 3.59-3.61
Ho: 0.0000 0.3333 0.5000 [4 per cell]  3 Th 3.58-3.59, 3 Ho 3.58-3.59, 6 Sm 3.58-3.59
Th: 0.0000 0.0000 0.5000 [2 per cell]  6 Sm 3.57, 6 Ho 3.58-3.59

***

# 19
Sm4DyHo2Th: optimized geometry, PBE.

Properties
Energy of formation from the pure elements: 0.250 eV/f.u.
Magnetization: 0.000 μB per formula unit

Unit cell a=5.0634 b=5.0634 c=10.1723 alpha=90.00 beta=90.00 gamma=90.00
Closest atoms and distances in Å follow each position.
Space group P4/mmm (No. 123)
Inequivalent atoms, fractional coordinates:
Sm: 0.0000 0.5000 0.2485 [4 per cell]  2 Th 3.58, 4 Ho 3.58-3.60, 4 Sm 3.58, 2 Dy 3.60
Dy: 0.0000 0.0000 0.5000 [1 per cell]  4 Ho 3.58, 8 Sm 3.60
Ho: 0.0000 0.0000 0.0000 [1 per cell]  8 Sm 3.58, 4 Th 3.58
Ho: 0.5000 0.5000 0.5000 [1 per cell]  4 Dy 3.58, 8 Sm 3.60
Th: 0.5000 0.5000 0.0000 [1 per cell]  8 Sm 3.58, 4 Ho 3.58

***

# 20
Sm3Dy2Ho6Th: optimized geometry, PBE.

Properties
Energy of formation from the pure elements: 0.247 eV/f.u.
Magnetization: 0.000 μB per formula unit

Unit cell a=6.1716 b=10.6842 c=11.7662 alpha=90.00 beta=100.08 gamma=90.00
Closest atoms and distances in Å follow each position.
Space group C2/m (No. 12)
Inequivalent atoms, fractional coordinates:
Sm: 0.0000 0.0000 0.0000 [2 per cell]  6 Sm 3.56-3.57, 6 Ho 3.57-3.59
Sm: 0.0000 0.3328 0.0000 [4 per cell]  6 Sm 3.56-3.57, 6 Ho 3.57-3.58
Dy: 0.0000 0.1667 0.5000 [4 per cell]  6 Ho 3.53-3.54, 3 Th 3.56, 3 Dy 3.56
Ho: 0.2467 0.5000 0.2524 [4 per cell]  1 Th 3.52, 6 Ho 3.53-3.58, 2 Dy 3.54, 3 Sm 3.57-3.59
Ho: 0.2482 0.3350 0.7476 [8 per cell]  1 Th 3.52, 6 Ho 3.53-3.58, 2 Dy 3.53-3.54, 3 Sm 3.57-3.58
Th: 0.0000 0.5000 0.5000 [2 per cell]  6 Ho 3.52, 6 Dy 3.56